# 1
A plane-wave DFT calculation with PBE was carried out for a relaxed structure of Li2MnCl.

Results
N(E_F), states/eV/cell: 3.58
ΔE to the lowest computed polymorph, meV per atom: 0.0
Final energy, eV per atom: -4.15
E_form (uncorrected), eV/atom: -0.4437

abc: 3.2166 3.2166 24.1185
angles: 90.00 90.00 120.00
Space group R-3m (No. 166, hexagonal axes)
Inequivalent atoms, fractional coordinates:
Li (0.0000, 0.0000, 0.2319) x6
Mn (0.0000, 0.0000, 0.0000) x3
Cl (0.0000, 0.0000, 0.5000) x3

# 2
A plane-wave DFT calculation with PBE was carried out for a relaxed structure of K2CeCuF8.

Results
Final energy, eV per atom: -5.17
E_form (uncorrected), eV/atom: -2.9006

abc: 4.128 6.067 8.107
angles: 82.49 86.42 86.90
Space group P-1 (No. 2)
Inequivalent atoms, fractional coordinates:
K (0.039, 0.042, 0.229) x2
Ce (0.500, 0.500, 0.500) x1
Cu (0.500, 0.500, 0.000) x1
F (0.017, 0.691, 0.537) x2
F (0.177, 0.716, 0.038) x2
F (0.455, 0.198, 0.667) x2
F (0.492, 0.379, 0.238) x2

# 3
A plane-wave DFT calculation with PBE was carried out for a relaxed structure of Y3ZrP.

Results
ΔE_f, eV/atom: 0.796
N(E_F), states/eV/cell: 3.70
ΔE to the lowest computed polymorph, meV per atom: 1043.9
Final energy, eV per atom: -5.87

abc: 5.416 5.416 5.416
angles: 90.00 90.00 90.00
Space group Pm-3m (No. 221)
Inequivalent atoms, fractional coordinates:
Y (0.000, 0.000, 0.500) x3
Zr (0.000, 0.000, 0.000) x1
P (0.500, 0.500, 0.500) x1

# 4
A plane-wave DFT calculation with PBE was carried out for a relaxed structure of CoIrN2.

Results
N(E_F), states/eV/cell: 21.50
ΔE to the lowest computed polymorph, meV per atom: 904.6
Final energy, eV per atom: -6.85
E_form (uncorrected), eV/atom: 1.3069

abc: 5.269 5.269 5.269
angles: 90.00 90.00 90.00
Space group Fm-3m (No. 225)
Inequivalent atoms, fractional coordinates:
Co (0.000, 0.000, 0.000) x4
Ir (0.000, 0.000, 0.500) x4
N (0.250, 0.250, 0.250) x8

# 5
A plane-wave DFT calculation with PBE was carried out for a relaxed structure of NaPbWS4.

Results
N(E_F), states/eV/cell: 6.42
Final energy, eV per atom: -5.47
E_form (uncorrected), eV/atom: -0.5461

abc: 6.893 6.988 8.105
angles: 90.00 107.91 90.00
Space group P2_1/m (No. 11)
Inequivalent atoms, fractional coordinates:
Na (0.212, 0.250, 0.045) x2
Pb (0.226, 0.250, 0.557) x2
W (0.253, 0.750, 0.816) x2
S (0.022, 0.507, 0.740) x4
S (0.418, 0.750, 0.097) x2
S (0.442, 0.750, 0.640) x2

# 6
A plane-wave DFT calculation with PBE was carried out for a relaxed structure of NdCo3Si3.

Results
N(E_F), states/eV/cell: 15.85
ΔE to the lowest computed polymorph, meV per atom: 63.3
Final energy, eV per atom: -6.28
E_form (uncorrected), eV/atom: -0.2332

abc: 6.204 6.204 6.204
angles: 90.00 90.00 90.00
Space group Pm-3n (No. 223)
Inequivalent atoms, fractional coordinates:
Nd (0.000, 0.000, 0.000) x2
Co (0.000, 0.250, 0.500) x6
Si (0.000, 0.500, 0.250) x6

# 7
A plane-wave DFT calculation with PBE was carried out for a relaxed structure of LaPm2Cu.

Results
ΔE_f, eV/atom: -0.063
N(E_F), states/eV/cell: 4.68
ΔE to the lowest computed polymorph, meV per atom: 1.0
Final energy, eV per atom: -4.69

abc: 3.629 3.629 8.854
angles: 90.00 90.00 90.00
Space group P4/mmm (No. 123)
Inequivalent atoms, fractional coordinates:
La (0.000, 0.000, 0.000) x1
Pm (0.500, 0.500, 0.307) x2
Cu (0.000, 0.000, 0.500) x1

# 8
A plane-wave DFT calculation with PBE was carried out for a relaxed structure of BaYCo4.

Results
ΔE_f, eV/atom: 0.283
N(E_F), states/eV/cell: 47.92
Final energy, eV per atom: -5.85

abc: 7.425 7.425 7.425
angles: 90.00 90.00 90.00
Space group F-43m (No. 216)
Inequivalent atoms, fractional coordinates:
Ba (0.000, 0.000, 0.000) x4
Y (0.250, 0.250, 0.250) x4
Co (0.123, 0.123, 0.623) x16

# 9
A plane-wave DFT calculation with PBE was carried out for a relaxed structure of Hf2Zr2Pt.

Results
ΔE_f, eV/atom: -0.228
N(E_F), states/eV/cell: 7.61
ΔE to the lowest computed polymorph, meV per atom: 133.6
Final energy, eV per atom: -8.84

abc: 6.931 6.931 4.662
angles: 90.00 90.00 90.00
Space group P4/mbm (No. 127)
Inequivalent atoms, fractional coordinates:
Hf (0.151, 0.349, 0.000) x4
Zr (0.152, 0.652, 0.500) x4
Pt (0.000, 0.000, 0.000) x2

# 10
A plane-wave DFT calculation with PBE was carried out for a relaxed structure of CoRe2Tc.

Results
ΔE_f, eV/atom: 0.102
N(E_F), states/eV/cell: 12.22
ΔE to the lowest computed polymorph, meV per atom: 76.3
Final energy, eV per atom: -10.49

abc: 2.7186 2.7186 26.1408
angles: 90.00 90.00 120.00
Space group R-3m (No. 166, hexagonal axes)
Inequivalent atoms, fractional coordinates:
Co (0.0000, 0.0000, 0.0000) x3
Re (0.0000, 0.0000, 0.2531) x6
Tc (0.0000, 0.0000, 0.5000) x3

# 11
A plane-wave DFT calculation with PBE was carried out for a relaxed structure of La3I7Cl.

Results
N(E_F), states/eV/cell: 7.18
Final energy, eV per atom: -4.04
E_form (uncorrected), eV/atom: -1.5421

abc: 9.0645 9.0645 7.6751
angles: 90.00 90.00 120.00
Space group P3m1 (No. 156)
Inequivalent atoms, fractional coordinates:
La (0.0005, 0.5003, 0.0000) x3
I (0.1685, 0.3369, 0.7597) x3
I (0.3385, 0.1692, 0.2402) x3
I (0.6667, 0.3333, 0.7495) x1
Cl (0.3333, 0.6667, 0.1732) x1

# 12
A plane-wave DFT calculation with PBE was carried out for a relaxed structure of LiTmSi2.

Results
N(E_F), states/eV/cell: 6.40
ΔE to the lowest computed polymorph, meV per atom: 0.0
Final energy, eV per atom: -4.84
E_form (uncorrected), eV/atom: -0.5353

abc: 7.619 3.742 10.089
angles: 90.00 90.00 90.00
Space group Pnma (No. 62)
Inequivalent atoms, fractional coordinates:
Li (0.013, 0.250, 0.106) x4
Tm (0.138, 0.750, 0.362) x4
Si (0.153, 0.750, 0.682) x4
Si (0.238, 0.750, 0.065) x4

# 13
A plane-wave DFT calculation with PBE was carried out for a relaxed structure of Gd2HoHg.

Results
ΔE_f, eV/atom: -0.179
N(E_F), states/eV/cell: 5.21
ΔE to the lowest computed polymorph, meV per atom: 44.5
Final energy, eV per atom: -8.44

abc: 4.798 4.798 4.878
angles: 90.00 90.00 90.00
Space group P4/mmm (No. 123)
Inequivalent atoms, fractional coordinates:
Gd (0.000, 0.500, 0.000) x2
Ho (0.000, 0.000, 0.500) x1
Hg (0.500, 0.500, 0.500) x1

# 14
A plane-wave DFT calculation with PBE was carried out for a relaxed structure of LiCeGa2.

Results
ΔE_f, eV/atom: -0.207
N(E_F), states/eV/cell: 9.33
ΔE to the lowest computed polymorph, meV per atom: 211.6
Final energy, eV per atom: -3.68

abc: 3.0221 3.0221 29.7660
angles: 90.00 90.00 120.00
Space group R-3m (No. 166, hexagonal axes)
Inequivalent atoms, fractional coordinates:
Li (0.0000, 0.0000, 0.0000) x3
Ce (0.0000, 0.0000, 0.5000) x3
Ga (0.0000, 0.0000, 0.2579) x6

# 15
A plane-wave DFT calculation with PBE was carried out for a relaxed structure of CoNi2Rh.

Results
ΔE_f, eV/atom: 0.078
N(E_F), states/eV/cell: 15.54
ΔE to the lowest computed polymorph, meV per atom: 65.6
Final energy, eV per atom: -6.43

abc: 2.5910 2.5910 24.8635
angles: 90.00 90.00 120.00
Space group R-3m (No. 166, hexagonal axes)
Inequivalent atoms, fractional coordinates:
Co (0.0000, 0.0000, 0.0000) x3
Ni (0.0000, 0.0000, 0.2537) x6
Rh (0.0000, 0.0000, 0.5000) x3

# 16
A plane-wave DFT calculation with PBE was carried out for a relaxed structure of Pm2PrSmDy4.

Results
ΔE_f, eV/atom: 0.407
N(E_F), states/eV/cell: 74.68
Final energy, eV per atom: -4.27

abc: 13.727 13.324 6.854
angles: 90.00 119.95 90.00
Space group C2/c (No. 15)
Inequivalent atoms, fractional coordinates:
Pm (0.000, 0.000, 0.000) x4
Pm (0.250, 0.250, 0.000) x4
Pr (0.250, 0.250, 0.500) x4
Sm (0.000, 0.500, 0.000) x4
Dy (0.001, 0.251, 0.000) x8
Dy (0.250, 0.000, 0.001) x8

# 17
A plane-wave DFT calculation with PBE was carried out for a relaxed structure of Hf2NiPI.

Results
N(E_F), states/eV/cell: 7.67
Final energy, eV per atom: -4.74
E_form (uncorrected), eV/atom: 1.7849

abc: 5.214 5.214 4.928
angles: 90.00 90.00 90.00
Space group P4/mmm (No. 123)
Inequivalent atoms, fractional coordinates:
Hf (0.000, 0.500, 0.000) x2
Ni (0.000, 0.000, 0.500) x1
P (0.500, 0.500, 0.500) x1
I (0.500, 0.500, 0.000) x1

# 18
A plane-wave DFT calculation with PBE was carried out for a relaxed structure of CeScHgIr.

Results
ΔE_f, eV/atom: -0.456
N(E_F), states/eV/cell: 25.21
Final energy, eV per atom: -5.81

abc: 7.055 7.055 7.055
angles: 90.00 90.00 90.00
Space group F-43m (No. 216)
Inequivalent atoms, fractional coordinates:
Ce (0.000, 0.000, 0.000) x4
Sc (0.000, 0.000, 0.500) x4
Hg (0.250, 0.250, 0.750) x4
Ir (0.250, 0.250, 0.250) x4

# 19
A plane-wave DFT calculation with PBE was carried out for a relaxed structure of SnHgCl3.

Results
N(E_F), states/eV/cell: 1.88
ΔE to the lowest computed polymorph, meV per atom: 0.0
Final energy, eV per atom: -2.66
E_form (uncorrected), eV/atom: -0.6865

abc: 7.982 9.862 4.051
angles: 90.00 96.11 90.00
Space group Cm (No. 8)
Inequivalent atoms, fractional coordinates:
Sn (0.000, 0.000, 0.000) x2
Hg (0.138, 0.500, 0.997) x2
Cl (0.317, 0.000, 0.100) x2
Cl (0.498, 0.313, 0.555) x4

# 20
A plane-wave DFT calculation with PBE was carried out for a relaxed structure of Cs2Ca2Pb.

Results
ΔE_f, eV/atom: -0.023
N(E_F), states/eV/cell: 3.02
Final energy, eV per atom: -1.91

abc: 8.579 8.579 7.342
angles: 90.00 90.00 90.00
Space group P4/mbm (No. 127)
Inequivalent atoms, fractional coordinates:
Cs (0.190, 0.310, 0.000) x4
Ca (0.164, 0.664, 0.500) x4
Pb (0.000, 0.000, 0.500) x2

# 21
A plane-wave DFT calculation with PBE was carried out for a relaxed structure of Zn3SnF8.

Results
N(E_F), states/eV/cell: 0.00
Final energy, eV per atom: -4.14
E_form (uncorrected), eV/atom: -2.2450

abc: 12.287 4.157 8.619
angles: 90.00 116.52 90.00
Space group Cm (No. 8)
Inequivalent atoms, fractional coordinates:
Zn (0.000, 0.000, 0.000) x2
Zn (0.081, 0.000, 0.473) x2
Zn (0.273, 0.000, 0.927) x2
Sn (0.345, 0.000, 0.437) x2
F (0.044, 0.500, 0.486) x2
F (0.091, 0.000, 0.865) x2
F (0.103, 0.000, 0.261) x2
F (0.233, 0.000, 0.675) x2
F (0.306, 0.000, 0.176) x2
F (0.321, 0.500, 0.942) x2
F (0.403, 0.500, 0.408) x2
F (0.465, 0.000, 0.988) x2

# 22
A plane-wave DFT calculation with PBE was carried out for a relaxed structure of GdMgGaCu.

Results
ΔE_f, eV/atom: -0.355
N(E_F), states/eV/cell: 7.95
Final energy, eV per atom: -6.05

abc: 6.805 6.805 6.805
angles: 90.00 90.00 90.00
Space group F-43m (No. 216)
Inequivalent atoms, fractional coordinates:
Gd (0.000, 0.000, 0.000) x4
Mg (0.000, 0.000, 0.500) x4
Ga (0.250, 0.250, 0.750) x4
Cu (0.250, 0.250, 0.250) x4

# 23
A plane-wave DFT calculation with PBE was carried out for a relaxed structure of Ba6Cu2Rh.

Results
ΔE_f, eV/atom: -0.071
N(E_F), states/eV/cell: 12.79
Final energy, eV per atom: -3.08

abc: 7.806 8.551 13.670
angles: 90.00 120.80 90.00
Space group P2_1/c (No. 14)
Inequivalent atoms, fractional coordinates:
Ba (0.082, 0.053, 0.240) x4
Ba (0.243, 0.691, 0.077) x4
Ba (0.382, 0.176, 0.064) x4
Cu (0.322, 0.111, 0.768) x4
Rh (0.000, 0.000, 0.000) x2

# 24
A plane-wave DFT calculation with PBE was carried out for a relaxed structure of HgGe2AuS6.

Results
N(E_F), states/eV/cell: 15.99
Final energy, eV per atom: -3.88
E_form (uncorrected), eV/atom: -0.1210

abc: 14.029 14.692 6.235
angles: 90.00 115.61 90.00
Space group C2/c (No. 15)
Inequivalent atoms, fractional coordinates:
Hg (0.000, 0.073, 0.250) x4
Ge (0.226, 0.431, 0.232) x8
Au (0.000, 0.312, 0.750) x4
S (0.102, 0.094, 0.671) x8
S (0.157, 0.296, 0.072) x8
S (0.168, 0.440, 0.518) x8